Nd6P2SBr3: optimized geometry, GGA-PBE.

Cell: 18.8535 4.1994 8.6400 Å, 90.00 107.50 90.00°
Closest atoms and distances in Å follow each position.
Space group C2/m (No. 12)
Inequivalent atoms, fractional coordinates:
Nd  0.0099  0.0000  0.2181  2 S 2.79, 1 P 2.80
Nd  0.1548  0.5000  0.1097  1 S 2.79, 2 P 2.81
Nd  0.1777  0.5000  0.5559  3 P 2.82
P  0.1657  0.0000  0.3318  6 Nd 2.80-2.82
S  0.0000  0.5000  0.0000  6 Nd 2.79
Br  0.0000  0.5000  0.5000  6 Nd 3.24-3.26
Br  0.1685  0.0000  0.8332  6 Nd 3.22-3.26

Computed properties:
For the total energy, the calculation gives -134.0 eV/cell.